An optimized crystal structure of Li2TmAg2, computed with PBE.

abc: 3.504 7.080 9.578
angles: 123.61 100.54 90.00
Atoms (fractional coordinates):
Ag: 0.387 0.330 0.773
Ag: 0.613 0.670 0.227
Ag: 0.387 0.830 0.773
Ag: 0.613 0.170 0.227
Li: 0.204 0.557 0.409
Li: 0.796 0.943 0.591
Li: 0.796 0.443 0.591
Li: 0.204 0.057 0.409
Tm: 0.000 0.750 0.000
Tm: 0.000 0.250 0.000

Computed properties:
Energy of formation from the pure elements in eV per atom: -0.24
V in Å³/f.u.: 97

An optimized crystal structure of Li4TmAg7, computed with PBE.

abc: 5.227 8.615 6.035
angles: 80.31 64.34 72.34
Atoms (fractional coordinates):
Ag: 0.347 0.550 0.755
Ag: 0.653 0.450 0.245
Ag: 0.051 0.633 0.265
Ag: 0.221 0.086 0.473
Ag: 0.949 0.367 0.735
Ag: 0.500 0.000 0.000
Ag: 0.779 0.914 0.527
Li: 0.423 0.770 0.385
Li: 0.577 0.230 0.615
Li: 0.729 0.675 0.867
Li: 0.271 0.325 0.133
Tm: 0.000 0.000 0.000

Computed properties:
Energy of formation from the pure elements in eV per atom: -0.03
V in Å³/f.u.: 233

An optimized crystal structure of LiTm2Ag, computed with PBE.

abc: 5.087 5.087 5.087
angles: 60.00 60.00 60.00
Atoms (fractional coordinates):
Tm: 0.250 0.250 0.250
Tm: 0.750 0.750 0.750
Ag: 0.000 0.000 0.000
Li: 0.500 0.500 0.500

Computed properties:
Energy of formation from the pure elements in eV per atom: -0.11
V in Å³/f.u.: 93

An optimized crystal structure of Li2TmAg, computed with PBE.

abc: 4.855 4.855 4.901
angles: 60.31 60.31 60.00
Atoms (fractional coordinates):
Li: 0.252 0.252 0.243
Li: 0.000 0.000 0.000
Tm: 0.500 0.500 0.501
Ag: 0.748 0.748 0.757

Computed properties:
Energy of formation from the pure elements in eV per atom: -0.04
V in Å³/f.u.: 82

An optimized crystal structure of LiTm2Ag3, computed with PBE.

abc: 4.945 4.945 12.109
angles: 90.00 90.00 120.00
Atoms (fractional coordinates):
Li: 0.667 0.333 0.332
Li: 0.333 0.667 0.668
Tm: 0.000 0.000 0.500
Tm: 0.000 0.000 0.000
Tm: 0.333 0.667 0.177
Tm: 0.667 0.333 0.823
Ag: 0.000 0.000 0.747
Ag: 0.333 0.667 0.919
Ag: 0.667 0.333 0.574
Ag: 0.000 0.000 0.253
Ag: 0.667 0.333 0.081
Ag: 0.333 0.667 0.426

Computed properties:
Energy of formation from the pure elements in eV per atom: -0.25
V in Å³/f.u.: 128

An optimized crystal structure of Li2Tm2Ag3, computed with PBE.

abc: 3.574 3.452 11.933
angles: 90.00 81.39 90.00
Atoms (fractional coordinates):
Li: 0.709 0.500 0.582
Li: 0.291 0.500 0.418
Ag: 0.000 0.000 0.000
Ag: 0.844 0.000 0.312
Ag: 0.156 0.000 0.688
Tm: 0.422 0.500 0.156
Tm: 0.578 0.500 0.844

Computed properties:
Energy of formation from the pure elements in eV per atom: -0.21
V in Å³/f.u.: 146

An optimized crystal structure of LiTmAg5, computed with PBE.

abc: 4.496 4.496 6.733
angles: 90.00 90.00 90.00
Atoms (fractional coordinates):
Ag: 0.500 0.500 0.500
Ag: 0.000 0.500 0.210
Ag: 0.000 0.500 0.790
Ag: 0.500 0.000 0.790
Ag: 0.500 0.000 0.210
Tm: 0.000 0.000 0.500
Li: 0.500 0.500 0.000

Computed properties:
Energy of formation from the pure elements in eV per atom: -0.09
V in Å³/f.u.: 136

An optimized crystal structure of Li2TmAg, computed with PBE.

abc: 3.466 3.466 6.670
angles: 90.00 90.00 90.00
Atoms (fractional coordinates):
Tm: 0.500 0.500 0.500
Li: 0.000 0.000 0.190
Li: 0.000 0.000 0.810
Ag: 0.500 0.500 0.000

Computed properties:
Energy of formation from the pure elements in eV per atom: -0.01
V in Å³/f.u.: 80